1.
Here is a relaxed MnBePC2 crystal from the Alexandria database. Energies are from GGA-PBE.

Unit cell a=3.373 b=3.373 c=4.681 alpha=90.00 beta=90.00 gamma=90.00
Space group P4/mmm (No. 123)
Inequivalent atoms, fractional coordinates:
Mn 0.000 0.000 0.000
Be 0.500 0.500 0.500
P 0.500 0.500 0.000
C 0.000 0.500 0.500

- Fermi-level density of states: 5.58 states/eV/f.u.
- Energy: -5.52 eV/atom
- Crystal system: tetragonal



2.
Here is a relaxed MnBePb2C crystal from the Alexandria database. Energies are from GGA-PBE.

Unit cell a=5.297 b=5.297 c=3.714 alpha=90.00 beta=90.00 gamma=90.00
Space group P4/mmm (No. 123)
Inequivalent atoms, fractional coordinates:
Mn 0.000 0.000 0.000
Be 0.500 0.500 0.500
Pb 0.000 0.500 0.000
C 0.000 0.000 0.500

- Fermi-level density of states: 2.06 states/eV/f.u.
- Energy: -4.83 eV/atom
- Crystal system: tetragonal



3.
Here is a relaxed RbMn2BeC crystal from the Alexandria database. Energies are from GGA-PBE.

Unit cell a=4.496 b=4.496 c=3.666 alpha=90.00 beta=90.00 gamma=90.00
Space group P4/mmm (No. 123)
Inequivalent atoms, fractional coordinates:
Rb 0.000 0.000 0.000
Mn 0.000 0.500 0.500
Be 0.500 0.500 0.000
C 0.500 0.500 0.500

- Fermi-level density of states: 2.11 states/eV/f.u.
- Energy: -5.41 eV/atom
- Crystal system: tetragonal



4.
Here is a relaxed MnBe2RhC crystal from the Alexandria database. Energies are from GGA-PBE.

Unit cell a=3.983 b=3.983 c=3.573 alpha=90.00 beta=90.00 gamma=90.00
Space group P4/mmm (No. 123)
Inequivalent atoms, fractional coordinates:
Mn 0.000 0.000 0.000
Be 0.000 0.500 0.000
Rh 0.500 0.500 0.500
C 0.000 0.000 0.500

- Fermi-level density of states: 4.36 states/eV/f.u.
- Energy: -5.70 eV/atom
- Crystal system: tetragonal



How do the records compare in energy of formation? In the order shown, they have 1.83; 1.08; 1.04; 0.93 eV per atom.